Below is a geometry-optimized TaAgTe4 structure, with properties calculated at the PBE level.

```
12
Lattice="6.657 0.000 0.000 -0.094 6.696 0.000 -2.207 -2.401 7.423" Properties=species:S:1:pos:R:3 pbc="T T T"
Ta -0.552 -2.382 7.421
Ta 4.907 6.677 0.002
Ag 0.304 1.212 3.998
Ag 4.050 3.083 3.425
Te -0.032 2.189 1.029
Te -0.093 5.824 2.192
Te 1.013 3.659 5.146
Te 1.106 -0.203 6.467
Te 3.249 4.498 0.956
Te 3.342 0.636 2.277
Te 4.447 -1.529 5.231
Te 4.387 2.106 6.394
```

Calculated values
E_form (uncorrected)	-0.186	eV per atom



Below is a geometry-optimized CeHoCdCo structure, with properties calculated at the PBE level.

```
4
Lattice="0.000 3.584 3.584 3.584 0.000 3.584 3.584 3.584 0.000" Properties=species:S:1:pos:R:3 pbc="T T T"
Ce 0.000 0.000 0.000
Ho 3.584 3.584 3.584
Cd 5.376 5.376 5.376
Co 1.792 1.792 1.792
```

Calculated values
DFT formation energy	-0.04	eV/atom



Below is a geometry-optimized YAg2Cl6 structure, with properties calculated at the PBE level.

```
9
Lattice="7.804 -1.971 0.000 7.804 1.971 0.000 -1.013 0.000 9.414" Properties=species:S:1:pos:R:3 pbc="T T T"
Y 0.000 0.000 0.000
Ag 2.664 0.000 3.153
Ag 11.931 0.000 6.260
Cl 0.261 0.000 2.640
Cl 2.663 0.000 6.187
Cl 6.010 0.000 0.171
Cl 8.585 0.000 9.243
Cl 11.933 0.000 3.227
Cl 14.335 0.000 6.773
```

Calculated values
E_form (uncorrected)	-1.173	eV per atom



| no. | DOS(E_F) (states/eV/cell) |
| --- | --- |
| 1 | 3.7 |
| 2 | 6.8 |
| 3 | 5.0 |